# Ac2CeBe2P4 | Alexandria via LeMat-Bulk | GGA-PBE | relaxed
data_Ac2CeBe2P4
_chemical_formula_sum 'Ac2 Ce1 Be2 P4'
_space_group_name_H-M_alt 'P 1'
_space_group_IT_number 1
_cell_length_a 3.931
_cell_length_b 7.122
_cell_length_c 7.705
_cell_angle_alpha 110.23
_cell_angle_beta 104.78
_cell_angle_gamma 90.00
loop_
_space_group_symop_operation_xyz
'x,y,z'
loop_
_atom_site_label
_atom_site_type_symbol
_atom_site_fract_x
_atom_site_fract_y
_atom_site_fract_z
P1 P 0.207 0.167 0.415
P2 P 0.470 0.256 0.940
P3 P 0.530 0.744 0.060
P4 P 0.793 0.833 0.585
Be1 Be 0.323 0.015 0.646
Be2 Be 0.677 0.985 0.354
Ac1 Ac 0.135 0.566 0.271
Ac2 Ac 0.865 0.434 0.729
Ce1 Ce 0.000 0.000 0.000
# Formation energy in eV per atom: -0.96
# Total magnetization in μB/cell: 0.9
# Volume in Å³ per cell: 194.8
# E_tot in eV/f.u.: -51.9
# Crystal system: monoclinic